ReW2Au | GGA-PBE | relaxed

a = 7.274 Å, b = 7.274 Å, c = 5.823 Å
α = 51.35°, β = 51.35°, γ = 90.00°
Positions (direct):
W 0.375 0.407 0.750
Au 0.750 0.250 0.500
W 0.875 0.843 0.750
Re 0.250 0.750 0.500
Re 0.500 0.500 0.000
W 0.593 0.125 0.250
W 0.157 0.625 0.250
Au 0.000 0.000 0.000

Properties
Energy above the most stable polymorph in this dataset ... 0.684 eV per atom
Formation enthalpy at 0 K ... 0.95 eV/atom
Electronic total energy ... -9.4549 eV/atom
Symmetry ... No. 122